[1]
The following is a GGA-PBE calculation of a relaxed TaBeCd crystal, from the Alexandria database.

Summary:
DOS at the Fermi energy ... 1.812 states/eV/cell
Relative energy among the computed polymorphs ... 0.00 kcal/mol of atoms
Formation enthalpy at 0 K ... 0.19 eV per atom

Unit cell a=2.8928 b=2.8928 c=11.1473 alpha=90.00 beta=90.00 gamma=90.00
Space group I4mm (No. 107)
Unique sites:
Ta 0.0000 0.0000 0.0000
Be 0.0000 0.0000 0.3547
Cd 0.0000 0.0000 0.7043

=====

[2]
The following is a GGA-PBE calculation of a relaxed TaBeCd3 crystal, from the Alexandria database.

Summary:
DOS at the Fermi energy ... 4.495 states/eV/cell
Relative energy among the computed polymorphs ... 17.64 kcal/mol of atoms
Formation enthalpy at 0 K ... 1.65 eV per atom

Unit cell a=5.5249 b=5.5249 c=5.5249 alpha=90.00 beta=90.00 gamma=90.00
Space group Pm-3m (No. 221)
Unique sites:
Ta 0.0000 0.0000 0.0000
Be 0.5000 0.5000 0.5000
Cd 0.0000 0.0000 0.5000

=====

[3]
The following is a GGA-PBE calculation of a relaxed TaBeCd crystal, from the Alexandria database.

Summary:
DOS at the Fermi energy ... 8.318 states/eV/cell
Relative energy among the computed polymorphs ... 24.06 kcal/mol of atoms
Formation enthalpy at 0 K ... 1.23 eV per atom

Unit cell a=6.2040 b=6.2040 c=6.2040 alpha=90.00 beta=90.00 gamma=90.00
Space group F-43m (No. 216)
Unique sites:
Ta 0.0000 0.0000 0.0000
Be 0.2500 0.2500 0.7500
Cd 0.2500 0.2500 0.2500

=====

[4]
The following is a GGA-PBE calculation of a relaxed Ta3BeCd crystal, from the Alexandria database.

Summary:
DOS at the Fermi energy ... 5.337 states/eV/cell
Relative energy among the computed polymorphs ... 0.00 kcal/mol of atoms
Formation enthalpy at 0 K ... 0.54 eV per atom

Unit cell a=4.4555 b=4.4555 c=4.4555 alpha=90.00 beta=90.00 gamma=90.00
Space group Pm-3m (No. 221)
Unique sites:
Ta 0.0000 0.0000 0.5000
Be 0.0000 0.0000 0.0000
Cd 0.5000 0.5000 0.5000

=====

[5]
The following is a GGA-PBE calculation of a relaxed Ta4BeCd crystal, from the Alexandria database.

Summary:
DOS at the Fermi energy ... 18.485 states/eV/cell
Formation enthalpy at 0 K ... 0.72 eV per atom

Unit cell a=7.7236 b=7.7236 c=7.7236 alpha=90.00 beta=90.00 gamma=90.00
Space group F-43m (No. 216)
Unique sites:
Ta 0.1245 0.1245 0.1245
Be 0.2500 0.2500 0.7500
Cd 0.0000 0.0000 0.5000

=====

[6]
The following is a GGA-PBE calculation of a relaxed TaBeCd crystal, from the Alexandria database.

Summary:
DOS at the Fermi energy ... 1.427 states/eV/cell
Relative energy among the computed polymorphs ... 5.00 kcal/mol of atoms
Formation enthalpy at 0 K ... 0.41 eV per atom

Unit cell a=4.2610 b=4.2610 c=3.0225 alpha=90.00 beta=90.00 gamma=120.00
Space group P-6m2 (No. 187)
Unique sites:
Ta 0.0000 0.0000 0.0000
Be 0.6667 0.3333 0.5000
Cd 0.3333 0.6667 0.5000

=====

Copy entry 2 word for word.
The following is a GGA-PBE calculation of a relaxed TaBeCd3 crystal, from the Alexandria database.

Summary:
DOS at the Fermi energy ... 4.495 states/eV/cell
Relative energy among the computed polymorphs ... 17.64 kcal/mol of atoms
Formation enthalpy at 0 K ... 1.65 eV per atom

Unit cell a=5.5249 b=5.5249 c=5.5249 alpha=90.00 beta=90.00 gamma=90.00
Space group Pm-3m (No. 221)
Unique sites:
Ta 0.0000 0.0000 0.0000
Be 0.5000 0.5000 0.5000
Cd 0.0000 0.0000 0.5000